Record 1
A geometry-optimized TlCd2As structure, computed with GGA-PBE.

abc: 7.329 7.329 7.329
angles: 90.00 90.00 90.00
Space group Fm-3m (No. 225)
Inequivalent atoms, fractional coordinates:
Tl 0.000 0.000 0.000 [4 per cell]
Cd 0.250 0.250 0.250 [8 per cell]
As 0.000 0.000 0.500 [4 per cell]

Output
energy of formation: 124.8 meV per atom

***

Record 2
A geometry-optimized PuThHg2 structure, computed with GGA-PBE.

abc: 3.801 3.801 7.595
angles: 90.00 90.00 90.00
Space group P4/mmm (No. 123)
Inequivalent atoms, fractional coordinates:
Pu 0.000 0.000 0.000 [1 per cell]
Th 0.000 0.000 0.500 [1 per cell]
Hg 0.500 0.500 0.246 [2 per cell]

Output
energy of formation: -142.6 meV per atom

***

Record 3
A geometry-optimized Ca2Ga4Ir3Pd structure, computed with GGA-PBE.

abc: 4.229 4.229 10.475
angles: 90.00 90.00 90.00
Space group P-4m2 (No. 115)
Inequivalent atoms, fractional coordinates:
Ca 0.000 0.500 0.247 [2 per cell]
Ga 0.000 0.000 0.500 [1 per cell]
Ga 0.000 0.500 0.870 [2 per cell]
Ga 0.500 0.500 0.500 [1 per cell]
Ir 0.000 0.000 0.000 [1 per cell]
Ir 0.000 0.500 0.633 [2 per cell]
Pd 0.500 0.500 0.000 [1 per cell]

Output
energy of formation: -636.5 meV per atom

***

Record 4
A geometry-optimized SnSbTe2Au structure, computed with GGA-PBE.

abc: 5.539 5.539 5.273
angles: 90.00 90.00 90.00
Space group P4/mmm (No. 123)
Inequivalent atoms, fractional coordinates:
Sn 0.000 0.000 0.000 [1 per cell]
Sb 0.500 0.500 0.000 [1 per cell]
Te 0.000 0.500 0.500 [2 per cell]
Au 0.500 0.500 0.500 [1 per cell]

Output
raw formation energy: 393 meV per atom

***

Results for mass density: 8.51 13.27 9.24 7.11 (in g/cm³, following the order of the records).
Results for magnetic moment: 0.000 1.589 0.000 0.000 (in μB/atom, following the order of the records).